# 1
Material: LiTi2P3O12
Method: DFT, GGA-PBEsol
State: optimized geometry

formation energy without anion corrections: -4473 kJ/mol of formula units
E above lowest polymorph: 0.024 kcal/mol of atoms

Cell and atoms, written as extended XYZ:
```
72
Lattice="8.627 0.000 0.000 0.000 8.587 0.000 0.000 0.000 11.937" Properties=species:S:1:pos:R:3 pbc="T T T"
Li 1.929 0.263 0.000
Li 2.385 4.556 5.969
Li 6.242 4.031 0.000
Li 6.699 8.324 5.969
Ti 0.216 8.569 2.419
Ti 0.393 4.340 11.182
Ti 3.921 0.047 5.213
Ti 4.097 4.276 8.387
Ti 4.530 4.311 2.419
Ti 4.706 8.540 11.182
Ti 8.234 4.247 5.213
Ti 8.411 0.018 8.387
P 0.922 7.316 5.524
P 0.944 3.084 8.028
P 2.127 2.460 3.782
P 2.186 6.754 9.750
P 3.370 7.378 2.059
P 3.392 3.022 11.493
P 5.235 5.565 5.524
P 5.257 1.209 8.028
P 6.441 1.833 3.782
P 6.500 6.127 9.750
P 7.683 5.503 2.059
P 7.705 1.271 11.493
O 0.029 4.884 1.040
O 0.098 0.639 0.528
O 0.519 7.796 4.120
O 0.598 3.570 9.438
O 0.817 1.554 7.937
O 0.879 5.786 5.628
O 1.239 1.568 2.932
O 1.265 5.917 10.667
O 1.329 7.640 8.828
O 1.353 3.407 4.714
O 1.931 7.807 1.685
O 1.954 3.459 11.812
O 2.359 7.753 5.843
O 2.382 3.513 7.653
O 2.961 7.700 10.683
O 2.985 3.346 2.859
O 3.049 1.624 4.698
O 3.074 5.862 8.901
O 3.435 1.493 11.596
O 3.496 5.848 1.968
O 3.715 7.864 3.469
O 3.795 3.502 10.089
O 4.215 4.933 6.496
O 4.284 0.591 7.008
O 4.343 7.996 1.040
O 4.412 3.654 0.528
O 4.832 5.085 4.120
O 4.912 0.723 9.438
O 5.131 2.739 7.937
O 5.192 7.094 5.628
O 5.553 2.725 2.932
O 5.578 6.963 10.667
O 5.642 5.241 8.828
O 5.666 0.887 4.714
O 6.245 5.074 1.685
O 6.268 0.834 11.812
O 6.673 5.128 5.843
O 6.696 0.780 7.653
O 7.274 5.180 10.683
O 7.298 0.947 2.859
O 7.363 2.670 4.698
O 7.388 7.019 8.901
O 7.748 2.801 11.596
O 7.810 7.033 1.968
O 8.029 5.017 3.469
O 8.108 0.791 10.089
O 8.529 7.948 6.496
O 8.598 3.703 7.008
```

***

# 2
Material: LiTi2P3O12
Method: DFT, GGA-PBEsol
State: optimized geometry

formation energy without anion corrections: -4461 kJ/mol of formula units
E above lowest polymorph: 0.185 kcal/mol of atoms

Cell and atoms, written as extended XYZ:
```
72
Lattice="8.633 0.000 0.000 0.000 11.951 0.000 0.000 0.000 8.577" Properties=species:S:1:pos:R:3 pbc="T T T"
Li 0.234 2.154 3.964
Li 4.082 8.130 4.613
Li 4.551 3.821 4.613
Li 8.399 9.797 3.964
Ti 1.825 4.630 4.266
Ti 1.878 1.442 8.573
Ti 2.439 7.418 0.004
Ti 2.492 10.606 4.311
Ti 6.141 1.345 4.311
Ti 6.194 4.534 0.004
Ti 6.755 10.509 8.573
Ti 6.808 7.321 4.266
P 0.000 0.000 6.144
P 0.000 5.976 1.801
P 1.220 7.737 5.542
P 1.220 10.239 1.232
P 3.096 1.761 3.034
P 3.097 4.263 7.345
P 4.316 0.000 6.776
P 4.316 5.976 2.433
P 5.536 7.688 7.345
P 5.537 10.190 3.034
P 7.413 1.712 1.232
P 7.413 4.214 5.542
O 0.192 3.823 5.047
O 0.248 1.996 0.868
O 0.800 11.022 5.174
O 0.853 6.889 0.945
O 0.889 5.091 2.714
O 0.909 0.893 6.964
O 1.301 7.827 7.049
O 1.307 10.140 2.786
O 1.546 6.307 5.044
O 1.646 11.624 0.758
O 2.058 2.706 3.687
O 2.149 3.218 7.946
O 2.167 9.194 0.631
O 2.259 8.681 4.890
O 2.670 5.648 7.818
O 2.770 0.332 3.532
O 3.016 1.851 1.527
O 3.009 4.165 5.791
O 3.408 6.869 1.612
O 3.428 11.067 5.863
O 3.464 0.914 7.631
O 3.517 5.046 3.403
O 4.068 7.971 7.709
O 4.125 9.798 3.530
O 4.508 2.153 3.530
O 4.565 3.980 7.709
O 5.116 6.905 3.403
O 5.169 11.037 7.631
O 5.205 0.884 5.863
O 5.225 5.083 1.612
O 5.623 7.786 5.791
O 5.617 10.100 1.527
O 5.863 11.619 3.532
O 5.963 6.303 7.818
O 6.374 3.270 4.890
O 6.466 2.757 0.631
O 6.484 8.733 7.946
O 6.575 9.245 3.687
O 6.987 0.327 0.758
O 7.087 5.644 5.044
O 7.326 1.811 2.786
O 7.332 4.124 7.049
O 7.724 11.058 6.964
O 7.744 6.860 2.714
O 7.780 5.062 0.945
O 7.833 0.929 5.174
O 8.385 9.955 0.868
O 8.441 8.128 5.047
```

***

# 3
Material: LiTi2P3O12
Method: DFT, GGA-PBEsol
State: optimized geometry

formation energy without anion corrections: -4469 kJ/mol of formula units
E above lowest polymorph: 0.080 kcal/mol of atoms

Cell and atoms, written as extended XYZ:
```
36
Lattice="8.434 0.000 0.000 -4.194 7.370 0.000 -0.059 -4.832 7.307" Properties=species:S:1:pos:R:3 pbc="T T T"
Li 0.863 1.665 0.752
Li 3.317 0.873 6.555
Ti -0.098 0.025 3.151
Ti 0.011 4.937 0.543
Ti 4.169 -2.398 6.764
Ti 4.278 2.513 4.156
P -1.835 2.505 1.869
P 1.144 -2.061 5.536
P 3.014 0.461 1.808
P 1.167 2.077 5.498
P 3.037 4.599 1.771
P 6.015 0.034 5.438
O -2.480 2.585 3.257
O 0.685 -3.521 5.383
O -0.736 1.419 1.850
O -1.369 0.385 6.496
O -1.173 3.862 1.554
O 0.672 -1.219 4.345
O 0.525 -1.595 6.873
O 1.531 0.131 2.073
O 0.500 1.492 4.258
O 2.681 -1.997 5.599
O 3.771 -0.807 1.391
O 2.924 1.494 0.653
O 1.257 1.045 6.654
O 0.409 3.346 5.916
O 1.500 4.535 1.708
O 3.681 1.046 3.049
O 2.649 2.407 5.233
O 3.655 4.134 0.434
O 3.509 3.758 2.962
O 5.353 -1.323 5.752
O 5.550 2.153 0.811
O 4.916 1.119 5.456
O 3.496 6.060 1.924
O 6.660 -0.047 4.050
```

***

# 4
Material: Li3TiP2O8
Method: DFT, GGA-PBEsol
State: optimized geometry

formation energy without anion corrections: -3293 kJ/mol of formula units
E above lowest polymorph: 0.120 kcal/mol of atoms

Cell and atoms, written as extended XYZ:
```
28
Lattice="4.561 -2.294 0.000 4.561 2.294 0.000 -2.114 0.000 13.437" Properties=species:S:1:pos:R:3 pbc="T T T"
Li 2.976 2.075 10.078
Li 2.298 0.162 4.537
Li 1.241 -0.162 11.256
Li 5.768 0.162 2.181
Li 4.711 -0.162 8.899
Li 4.033 -2.075 3.359
Ti 0.000 0.000 0.000
Ti -1.057 0.000 6.718
P 2.892 0.110 1.578
P 1.835 -0.110 8.296
P 5.173 0.110 5.141
P 4.117 -0.110 11.859
O 1.563 0.769 1.162
O 1.590 0.755 9.549
O 3.975 1.220 1.812
O 2.406 0.809 7.193
O 4.091 1.220 4.907
O 0.507 -0.769 7.881
O 3.546 0.809 12.962
O 4.361 0.755 10.606
O 2.647 -0.755 2.830
O 3.463 -0.809 0.475
O 6.502 0.769 5.556
O 2.918 -1.220 8.530
O 4.603 -0.809 6.244
O 3.034 -1.220 11.625
O 5.418 -0.755 3.888
O 5.445 -0.769 12.274
```

***

# 5
Material: Li6Ti3VP6O24
Method: DFT, GGA-PBEsol
State: optimized geometry

formation energy without anion corrections: -9299 kJ/mol of formula units

Cell and atoms, written as extended XYZ:
```
40
Lattice="8.410 0.000 0.000 3.875 7.542 0.000 3.928 2.438 7.129" Properties=species:S:1:pos:R:3 pbc="T T T"
Li 0.000 0.000 0.000
Li 6.112 7.876 3.693
Li 4.685 3.844 3.200
Li 6.498 5.649 1.090
Li 10.538 6.164 5.687
Li 10.335 3.280 4.794
Ti 3.930 4.300 0.067
Ti 8.585 7.212 2.098
Ti 8.226 1.821 3.637
V 12.828 4.697 5.717
P 2.230 1.712 1.428
P 8.931 8.965 4.938
P 7.523 4.974 4.313
P 6.449 2.247 0.810
P 13.175 7.958 6.459
P 11.730 6.097 2.886
O 1.212 1.513 0.305
O 4.206 5.339 1.852
O 4.260 2.760 4.967
O 3.245 2.809 1.088
O 6.018 4.717 4.498
O 6.722 7.850 1.683
O 8.849 8.373 6.378
O 8.226 8.088 3.888
O 8.107 5.849 5.451
O 7.628 5.668 2.932
O 5.874 3.670 0.520
O 6.534 1.579 4.586
O 5.369 1.255 1.222
O 8.380 3.689 4.311
O 8.375 6.200 0.399
O 7.472 2.380 1.937
O 10.339 6.432 2.367
O 11.004 4.181 6.602
O 12.466 6.641 6.106
O 13.339 8.896 5.227
O 11.570 5.138 4.104
O 12.471 7.404 3.228
O 10.044 2.113 2.809
O 14.619 7.707 6.936
```

***

# 6
Material: LiTlP2O
Method: DFT, GGA-PBEsol
State: optimized geometry

formation energy without anion corrections: 192 kJ/mol of formula units

Cell and atoms, written as extended XYZ:
```
5
Lattice="4.811 0.000 0.000 0.000 4.811 0.000 0.000 0.000 3.383" Properties=species:S:1:pos:R:3 pbc="T T T"
Li 0.000 0.000 0.000
Tl 2.405 2.405 1.692
P 0.000 2.405 0.000
P 2.405 0.000 0.000
O 0.000 0.000 1.692
```